Entry 1:
A geometry-optimized RbBe2V structure, computed with GGA-PBE.

Cell: 9.3925 9.3925 9.3925 Å, 150.91 150.91 41.61°
With the nearest neighbours (Å) after each atom.
Positions (direct):
1 Rb 0.3750 0.6250 0.7500  4 V 3.34, 8 Be 3.43
2 Rb 0.6250 0.3750 0.2500  4 V 3.34, 8 Be 3.43
3 Be 0.0000 0.0000 0.0000  2 Be 2.36, 2 V 2.49
4 Be 0.0000 0.0000 0.5000  2 Be 2.36, 2 V 2.49
5 Be 0.0000 0.5000 0.0000  2 Be 2.36, 2 V 2.49
6 Be 0.5000 0.0000 0.5000  2 Be 2.36, 2 V 2.49
7 V 0.1250 0.8750 0.2500  4 Be 2.49
8 V 0.8750 0.1250 0.7500  4 Be 2.49

Summary:
Final energy = -3.14 eV/atom
ΔE_f = 1241 meV/atom
Spin magnetization = 3.91 μB/f.u.
Symmetry = I4_1/amd, No. 141
Polymorph energy (0 for the lowest one) = 0.0 meV per atom


Entry 2:
A geometry-optimized Pu3Pa5Se8 structure, computed with GGA-PBE.

Cell: 8.3840 8.3840 8.3840 Å, 56.80 56.80 56.80°
With the nearest neighbours (Å) after each atom.
Positions (direct):
1 Pu 0.0000 0.5000 0.5000  6 Se 2.88
2 Pu 0.5000 0.0000 0.5000  6 Se 2.88
3 Pu 0.5000 0.5000 0.0000  6 Se 2.88
4 Pa 0.0000 0.0000 0.0000  6 Se 2.89
5 Pa 0.0000 0.0000 0.5000  6 Se 2.91
6 Pa 0.0000 0.5000 0.0000  6 Se 2.91
7 Pa 0.5000 0.0000 0.0000  6 Se 2.91
8 Pa 0.5000 0.5000 0.5000  6 Se 2.90
9 Se 0.2496 0.2496 0.7481  2 Pu 2.88, 4 Pa 2.89-2.91
10 Se 0.2496 0.7481 0.2496  2 Pu 2.88, 4 Pa 2.89-2.91
11 Se 0.2511 0.2511 0.2511  3 Pu 2.88, 3 Pa 2.91
12 Se 0.2519 0.7504 0.7504  2 Pu 2.88, 4 Pa 2.89-2.91
13 Se 0.7481 0.2496 0.2496  2 Pu 2.88, 4 Pa 2.89-2.91
14 Se 0.7489 0.7489 0.7489  3 Pu 2.88, 3 Pa 2.91
15 Se 0.7504 0.2519 0.7504  2 Pu 2.88, 4 Pa 2.89-2.91
16 Se 0.7504 0.7504 0.2519  2 Pu 2.88, 4 Pa 2.89-2.91

Summary:
Final energy = -8.72 eV/atom
Spin magnetization = 13.66 μB/f.u.
Symmetry = R-3m, No. 166
Formation energy without anion corrections = -1.318 eV/atom